Record 1
In2HgMoBr | PBE | optimized geometry

abc: 5.511 5.511 5.910
angles: 90.00 90.00 90.00
Element x y z (fractional)
In (0.000, 0.500, 0.000)
In (0.500, 0.000, 0.000)
Hg (0.000, 0.000, 0.000)
Mo (0.500, 0.500, 0.500)
Br (0.000, 0.000, 0.500)

Values from the calculation:
ρ	5.61	g/cm³
formation energy without anion corrections	1057.1	meV per atom
DOS at the Fermi energy	2.3	states/eV/cell
M_tot	5.216	μB/f.u.
VASP energy	-0.191	Ry per atom

***

Record 2
NaInHgBr2 | PBE | optimized geometry

abc: 5.609 5.609 5.626
angles: 90.00 90.00 90.00
Element x y z (fractional)
Na (0.000, 0.000, 0.000)
In (0.500, 0.500, 0.500)
Hg (0.000, 0.000, 0.500)
Br (0.000, 0.500, 0.000)
Br (0.500, 0.000, 0.000)

Values from the calculation:
ρ	4.67	g/cm³
formation energy without anion corrections	-636.6	meV per atom
DOS at the Fermi energy	0.0	states/eV/cell
M_tot	0.000	μB/f.u.
VASP energy	-0.160	Ry per atom

***

Record 3
Na2InHgBr6 | PBE | optimized geometry

abc: 7.970 7.970 7.970
angles: 55.52 55.52 55.52
Element x y z (fractional)
Na (0.000, 0.000, 0.000)
Na (0.491, 0.491, 0.491)
In (0.687, 0.687, 0.687)
Hg (0.195, 0.195, 0.195)
Br (0.051, 0.435, 0.796)
Br (0.312, 0.900, 0.590)
Br (0.435, 0.796, 0.051)
Br (0.590, 0.312, 0.900)
Br (0.796, 0.051, 0.435)
Br (0.900, 0.590, 0.312)

Values from the calculation:
ρ	4.35	g/cm³
energy above the most stable polymorph in this dataset	0.0	meV/atom
formation energy without anion corrections	-952.0	meV per atom
DOS at the Fermi energy	3.0	states/eV/cell
M_tot	0.000	μB/f.u.
VASP energy	-0.185	Ry per atom

***

Record 4
Na2InHgBr6 | PBE | optimized geometry

abc: 7.946 7.946 7.946
angles: 60.00 60.00 60.00
Element x y z (fractional)
Na (0.250, 0.250, 0.250)
Na (0.750, 0.750, 0.750)
In (0.000, 0.000, 0.000)
Hg (0.500, 0.500, 0.500)
Br (0.244, 0.244, 0.756)
Br (0.244, 0.756, 0.244)
Br (0.244, 0.756, 0.756)
Br (0.756, 0.244, 0.244)
Br (0.756, 0.244, 0.756)
Br (0.756, 0.756, 0.244)

Values from the calculation:
ρ	3.94	g/cm³
energy above the most stable polymorph in this dataset	118.6	meV/atom
formation energy without anion corrections	-833.5	meV per atom
DOS at the Fermi energy	0.7	states/eV/cell
M_tot	0.000	μB/f.u.
VASP energy	-0.177	Ry per atom

***

Record 5
NaInHgBr4 | PBE | optimized geometry

abc: 8.082 8.082 10.698
angles: 108.96 108.96 58.68
Element x y z (fractional)
Na (0.181, 0.181, 0.410)
Na (0.819, 0.819, 0.590)
In (0.174, 0.174, 0.782)
In (0.826, 0.826, 0.218)
Hg (0.443, 0.443, 0.710)
Hg (0.557, 0.557, 0.290)
Br (0.008, 0.008, 0.824)
Br (0.084, 0.591, 0.384)
Br (0.328, 0.328, 0.995)
Br (0.409, 0.916, 0.616)
Br (0.591, 0.084, 0.384)
Br (0.672, 0.672, 0.005)
Br (0.916, 0.409, 0.616)
Br (0.992, 0.992, 0.176)

Values from the calculation:
ρ	3.95	g/cm³
formation energy without anion corrections	-873.8	meV per atom
DOS at the Fermi energy	0.0	states/eV/cell
M_tot	0.000	μB/f.u.
VASP energy	-0.180	Ry per atom

***

Record 6
In2NiHgBr | PBE | optimized geometry

abc: 5.078 5.078 5.114
angles: 90.00 90.00 90.00
Element x y z (fractional)
In (0.000, 0.500, 0.000)
In (0.500, 0.000, 0.000)
Ni (0.000, 0.000, 0.000)
Hg (0.000, 0.000, 0.500)
Br (0.500, 0.500, 0.500)

Values from the calculation:
ρ	7.16	g/cm³
formation energy without anion corrections	-221.7	meV per atom
DOS at the Fermi energy	1.7	states/eV/cell
M_tot	0.000	μB/f.u.
VASP energy	-0.211	Ry per atom

***

Record 7
NpIn3Hg2Br6 | PBE | optimized geometry

abc: 9.105 9.105 7.009
angles: 91.40 91.40 53.97
Element x y z (fractional)
Np (0.000, 0.000, 0.000)
In (0.000, 0.500, 0.000)
In (0.500, 0.000, 0.000)
In (0.500, 0.500, 0.500)
Hg (0.351, 0.351, 0.244)
Hg (0.649, 0.649, 0.756)
Br (0.138, 0.138, 0.753)
Br (0.159, 0.674, 0.773)
Br (0.326, 0.841, 0.227)
Br (0.674, 0.159, 0.773)
Br (0.841, 0.326, 0.227)
Br (0.862, 0.862, 0.247)

Values from the calculation:
ρ	5.17	g/cm³
formation energy without anion corrections	-746.5	meV per atom
DOS at the Fermi energy	6.7	states/eV/cell
M_tot	3.829	μB/f.u.
VASP energy	-0.250	Ry per atom

***

Record 8
PaIn2HgBr6 | PBE | optimized geometry

abc: 8.119 8.224 8.902
angles: 90.37 117.06 119.52
Element x y z (fractional)
Pa (0.000, 0.000, 0.000)
In (0.635, 0.816, 0.450)
In (0.691, 0.348, 0.034)
Hg (0.005, 0.504, 0.507)
Br (0.159, 0.980, 0.781)
Br (0.170, 0.804, 0.211)
Br (0.404, 0.365, 0.207)
Br (0.608, 0.629, 0.779)
Br (0.796, 0.170, 0.775)
Br (0.836, 0.041, 0.206)

Values from the calculation:
ρ	4.31	g/cm³
formation energy without anion corrections	-1001.4	meV per atom
DOS at the Fermi energy	0.4	states/eV/cell
M_tot	1.008	μB/f.u.
VASP energy	-0.260	Ry per atom